No. 1
An optimized crystal structure of AcHoGa. Source: Alexandria via LeMat-Bulk, functional PBE.

Computed properties:
* energy relative to the lowest polymorph listed for this composition: 0.000 eV per atom
* energy of formation from the pure elements: -107 kJ/mol of formula units

abc: 4.813 4.813 8.014
angles: 90.00 90.01 90.00
Site moments in Bohr magnetons follow the coordinates.
Sites, in units of the cell vectors:
Ac (0.814, 0.866, 0.561)  0.10
Ac (0.314, 0.366, 0.278)  0.10
Ho (0.814, 0.366, 0.920)  0.19
Ho (0.314, 0.866, 0.920)  0.19
Ga (0.814, 0.867, 0.152)  -0.01
Ga (0.313, 0.366, 0.687)  -0.01

---

No. 2
An optimized crystal structure of Sm3Tm7Sc2. Source: Alexandria via LeMat-Bulk, functional PBE.

Computed properties:
* energy of formation from the pure elements: 280 kJ/mol of formula units

abc: 3.552 5.444 20.025
angles: 90.00 95.11 90.00
Sites, in units of the cell vectors:
Sm (0.500, 0.500, 0.000)
Sm (0.829, 0.000, 0.662)
Sm (0.171, 0.000, 0.338)
Tm (0.285, 0.500, 0.571)
Tm (0.715, 0.500, 0.429)
Tm (0.411, 0.000, 0.824)
Tm (0.000, 0.000, 0.000)
Tm (0.589, 0.000, 0.176)
Tm (0.070, 0.500, 0.137)
Tm (0.930, 0.500, 0.863)
Sc (0.361, 0.500, 0.726)
Sc (0.639, 0.500, 0.274)

---

No. 3
An optimized crystal structure of BeOs2. Source: Alexandria via LeMat-Bulk, functional PBE.

Computed properties:
* energy of formation from the pure elements: 209 kJ/mol of formula units

abc: 3.904 3.904 2.638
angles: 90.00 90.00 90.00
Sites, in units of the cell vectors:
Be (0.000, 0.000, 0.000)
Os (0.000, 0.500, 0.500)
Os (0.500, 0.000, 0.500)

---

No. 4
An optimized crystal structure of KSrY. Source: Alexandria via LeMat-Bulk, functional PBE.

Computed properties:
* energy relative to the lowest polymorph listed for this composition: 0.000 eV per atom
* energy of formation from the pure elements: 88 kJ/mol of formula units

abc: 10.715 10.467 3.817
angles: 83.31 75.98 20.72
Sites, in units of the cell vectors:
K (0.007, 0.007, 0.993)
Sr (0.319, 0.319, 0.681)
Y (0.674, 0.674, 0.326)